1.
! Al2TeIr2 (PBE-GGA, relaxed); values from VASP
! E (eV per atom): -6.15
! Space group: No. 127
! Formation energy (no corrections) (eV per atom): -0.48
&SYSTEM
  ibrav = 0, nat = 10, ntyp = 3
/
ATOMIC_SPECIES
Al 26.98 Al.upf
Te 127.60 Te.upf
Ir 192.22 Ir.upf
ATOMIC_POSITIONS crystal
Al 0.136 0.364 0.000
Al 0.364 0.864 0.000
Al 0.636 0.136 0.000
Al 0.864 0.636 0.000
Te 0.000 0.000 0.500
Te 0.500 0.500 0.500
Ir 0.155 0.655 0.500
Ir 0.345 0.155 0.500
Ir 0.655 0.845 0.500
Ir 0.845 0.345 0.500
CELL_PARAMETERS angstrom
7.500 0.000 0.000
0.000 7.500 0.000
0.000 0.000 2.927


2.
! TiAl2Cl8 (PBE-GGA, relaxed); values from VASP
! E (eV per atom): -4.21
! Space group: No. 12
! Formation energy (no corrections) (eV per atom): -1.47
! Energy above the lowest structure with this stoichiometry (eV/atom): 0.002
&SYSTEM
  ibrav = 0, nat = 11, ntyp = 3
/
ATOMIC_SPECIES
Ti 47.87 Ti.upf
Al 26.98 Al.upf
Cl 35.45 Cl.upf
ATOMIC_POSITIONS crystal
Ti 0.000 0.000 0.000
Al 0.185 0.185 0.644
Al 0.815 0.815 0.356
Cl 0.083 0.725 0.232
Cl 0.169 0.169 0.278
Cl 0.275 0.917 0.768
Cl 0.350 0.350 0.753
Cl 0.650 0.650 0.247
Cl 0.725 0.083 0.232
Cl 0.831 0.831 0.722
Cl 0.917 0.275 0.768
CELL_PARAMETERS angstrom
6.247 -4.698 0.000
6.247 4.698 0.000
-0.605 0.000 6.011


3.
! Nb2NiAu2 (PBE-GGA, relaxed); values from VASP
! E (eV per atom): -6.09
! Space group: No. 127
! Formation energy (eV per atom): 0.4071
! Energy above the lowest structure with this stoichiometry (eV/atom): 0.000
&SYSTEM
  ibrav = 0, nat = 10, ntyp = 3
/
ATOMIC_SPECIES
Nb 92.91 Nb.upf
Ni 58.69 Ni.upf
Au 196.97 Au.upf
ATOMIC_POSITIONS crystal
Nb 0.125 0.375 0.000
Nb 0.375 0.875 0.000
Nb 0.625 0.125 0.000
Nb 0.875 0.625 0.000
Ni 0.000 0.000 0.000
Ni 0.500 0.500 0.000
Au 0.171 0.671 0.500
Au 0.329 0.171 0.500
Au 0.671 0.829 0.500
Au 0.829 0.329 0.500
CELL_PARAMETERS angstrom
8.065 0.000 0.000
0.000 8.065 0.000
0.000 0.000 2.850


Number 3 is which compound?
Nb2NiAu2


Which value of E does entry 2 give?
-4.21 eV per atom